1.
This record from the Alexandria database describes crystalline Tm10Sn3Bi3 at its relaxed geometry. The functional is PBE-GGA.

Cell lengths 8.9437, 8.9437, 6.3844 Å; angles 90.00, 90.00, 120.00 degrees
Last column: nearest neighbours and their distance in Å.
Element x y z (fractional)
Tm  0.0000  0.2392  0.0000  3 Sn 3.06-3.30
Tm  0.0000  0.7621  0.5000  3 Bi 3.07-3.29
Tm  0.2379  0.2379  0.5000  3 Bi 3.07-3.29
Tm  0.2392  0.0000  0.0000  3 Sn 3.06-3.30
Tm  0.3333  0.6667  0.2450  2 Tm 3.13-3.26, 3 Sn 3.17, 3 Bi 3.20
Tm  0.3333  0.6667  0.7550  2 Tm 3.13-3.26, 3 Sn 3.17, 3 Bi 3.20
Tm  0.6667  0.3333  0.2450  2 Tm 3.13-3.26, 3 Sn 3.17, 3 Bi 3.20
Tm  0.6667  0.3333  0.7550  2 Tm 3.13-3.26, 3 Sn 3.17, 3 Bi 3.20
Tm  0.7608  0.7608  0.0000  3 Sn 3.06-3.30
Tm  0.7621  0.0000  0.5000  3 Bi 3.07-3.29
Sn  0.0000  0.6083  0.0000  7 Tm 3.06-3.30
Sn  0.3917  0.3917  0.0000  7 Tm 3.06-3.30
Sn  0.6083  0.0000  0.0000  7 Tm 3.06-3.30
Bi  0.0000  0.3939  0.5000  7 Tm 3.07-3.29
Bi  0.3939  0.0000  0.5000  7 Tm 3.07-3.29
Bi  0.6061  0.6061  0.5000  7 Tm 3.07-3.29

## Properties
Its total energy is -78.947 eV per formula unit. As for the space group: P-62m (189). The calculated volume is 442.3 Å³/cell.



2.
This record from the Alexandria database describes crystalline CsK2Ag at its relaxed geometry. The functional is PBE-GGA.

Cell lengths 6.5938, 6.5938, 6.5938 Å; angles 60.00, 60.00, 60.00 degrees
Last column: nearest neighbours and their distance in Å.
Element x y z (fractional)
Cs  0.0000  0.0000  0.0000  8 K 4.04
K  0.2500  0.2500  0.2500  4 Ag 4.04, 4 Cs 4.04
K  0.7500  0.7500  0.7500  4 Cs 4.04, 4 Ag 4.04
Ag  0.5000  0.5000  0.5000  8 K 4.04

## Properties
Its total energy is -5.313 eV per formula unit. As for the energy above the most stable polymorph in this dataset: 115 meV per atom. As for the space group: Fm-3m (225). The calculated volume is 202.7 Å³/cell.



Question: Which of these has the highest calculated volume?
Answer: Tm10Sn3Bi3



Question: The lowest calculated volume belongs to which entry?
Answer: CsK2Ag